No. 1
Entry from Alexandria via LeMat-Bulk: a geometry-optimized Ta4InAu structure (GGA-PBE).

a = 5.5060 Å, b = 5.5060 Å, c = 5.5060 Å
α = 60.00°, β = 60.00°, γ = 60.00°
Closest atoms and distances in Å follow each position.
Sites, in units of the cell vectors:
1 Ta 0.3760 0.3760 0.3760  6 Ta 2.73-2.78
2 Ta 0.3760 0.3760 0.8720  6 Ta 2.73-2.78
3 Ta 0.3760 0.8720 0.3760  6 Ta 2.73-2.78
4 Ta 0.8720 0.3760 0.3760  6 Ta 2.73-2.78
5 In 0.7500 0.7500 0.7500  12 Ta 3.23, 4 Au 3.37
6 Au 0.0000 0.0000 0.0000  12 Ta 3.23, 4 In 3.37

Summary:
The space-group type is F-43m, No. 216. For the final energy, the calculation gives -8.5138 eV per atom. For the density of states at the Fermi level, the calculation gives 0.871 states/eV per atom. As for the magnetic moment: 0.00 μB/atom. Its formation energy is 0.39 eV per atom.

No. 2
Entry from Alexandria via LeMat-Bulk: a geometry-optimized Ta2InAu structure (GGA-PBE).

a = 2.9207 Å, b = 2.9207 Å, c = 9.0385 Å
α = 90.00°, β = 90.00°, γ = 99.25°
Closest atoms and distances in Å follow each position.
Sites, in units of the cell vectors:
1 Ta 0.0000 0.0000 0.0000  8 Ta 2.91-3.13, 4 In 3.03-3.24
2 Ta 0.5000 0.5000 0.2441  4 Au 2.85-3.08, 8 Ta 2.91-3.13
3 In 0.5000 0.5000 0.7388  4 In 2.92, 4 Au 3.01-3.23, 4 Ta 3.03-3.24
4 Au 0.0000 0.0000 0.4792  4 Ta 2.85-3.08, 4 Au 2.92, 2 In 3.01

Summary:
The space-group type is Cmm2, No. 35. For the final energy, the calculation gives -7.4085 eV per atom. For the density of states at the Fermi level, the calculation gives 0.547 states/eV per atom. As for the magnetic moment: 0.00 μB/atom. Its formation energy is 0.02 eV per atom.

No. 3
Entry from Alexandria via LeMat-Bulk: a geometry-optimized Ta2InAu structure (GGA-PBE).

a = 5.7042 Å, b = 5.7042 Å, c = 5.7042 Å
α = 148.37°, β = 127.56°, γ = 62.54°
Closest atoms and distances in Å follow each position.
Sites, in units of the cell vectors:
1 Ta 0.0000 0.0000 0.0000  4 Ta 2.78-3.11, 2 Au 2.81, 4 In 2.96
2 Ta 0.7631 0.2631 0.5000  4 Ta 2.78-3.11, 4 Au 2.97, 2 In 3.08
3 In 0.4903 0.4903 0.0000  2 Au 2.89, 6 Ta 2.96-3.08, 2 In 3.11
4 Au 0.2402 0.7402 0.5000  6 Ta 2.81-2.97, 2 In 2.89, 2 Au 3.11

Summary:
The space-group type is Imm2, No. 44. For the final energy, the calculation gives -7.2811 eV per atom. For the density of states at the Fermi level, the calculation gives 0.646 states/eV per atom. As for the magnetic moment: 0.00 μB/atom. Its formation energy is 0.15 eV per atom.

No. 4
Entry from Alexandria via LeMat-Bulk: a geometry-optimized Ta2InAu structure (GGA-PBE).

a = 4.0622 Å, b = 4.0622 Å, c = 4.4883 Å
α = 90.00°, β = 90.00°, γ = 90.00°
Closest atoms and distances in Å follow each position.
Sites, in units of the cell vectors:
1 Ta 0.0000 0.5000 0.0000  4 Ta 2.87, 4 In 3.03, 4 Au 3.03
2 Ta 0.5000 0.0000 0.0000  4 Ta 2.87, 4 In 3.03, 4 Au 3.03
3 In 0.0000 0.0000 0.5000  4 Au 2.87, 8 Ta 3.03
4 Au 0.5000 0.5000 0.5000  4 In 2.87, 8 Ta 3.03

Summary:
The space-group type is P4/mmm, No. 123. For the final energy, the calculation gives -7.3936 eV per atom. For the density of states at the Fermi level, the calculation gives 0.471 states/eV per atom. As for the magnetic moment: 0.00 μB/atom. Its formation energy is 0.04 eV per atom.

No. 5
Entry from Alexandria via LeMat-Bulk: a geometry-optimized Ta2InAu structure (GGA-PBE).

a = 3.5178 Å, b = 3.5178 Å, c = 6.1816 Å
α = 90.00°, β = 90.00°, γ = 90.00°
Closest atoms and distances in Å follow each position.
Sites, in units of the cell vectors:
1 Ta 0.0000 0.0000 0.0000  4 Ta 2.79, 1 Au 2.97, 4 In 3.02
2 Ta 0.5000 0.5000 0.2062  4 Ta 2.79, 1 In 2.99, 4 Au 3.01
3 In 0.5000 0.5000 0.7230  4 Au 2.90, 6 Ta 2.99-3.19
4 Au 0.0000 0.0000 0.4809  4 In 2.90, 6 Ta 2.97-3.21

Summary:
The space-group type is P4mm, No. 99. For the final energy, the calculation gives -7.3399 eV per atom. For the density of states at the Fermi level, the calculation gives 0.726 states/eV per atom. As for the magnetic moment: 0.00 μB/atom. Its formation energy is 0.09 eV per atom.

No. 6
Entry from Alexandria via LeMat-Bulk: a geometry-optimized Ta2InAu structure (GGA-PBE).

a = 2.9489 Å, b = 2.9489 Å, c = 8.5737 Å
α = 90.00°, β = 90.00°, γ = 90.00°
Closest atoms and distances in Å follow each position.
Sites, in units of the cell vectors:
1 Ta 0.0000 0.0000 0.2387  4 Au 2.92, 4 Ta 2.95, 4 In 3.06
2 Ta 0.0000 0.0000 0.7613  4 Au 2.92, 4 Ta 2.95, 4 In 3.06
3 In 0.5000 0.5000 0.5000  4 In 2.95, 8 Ta 3.06
4 Au 0.5000 0.5000 0.0000  8 Ta 2.92, 4 Au 2.95

Summary:
The space-group type is P4/mmm, No. 123. For the final energy, the calculation gives -7.3235 eV per atom. For the density of states at the Fermi level, the calculation gives 0.824 states/eV per atom. As for the magnetic moment: 0.00 μB/atom. Its formation energy is 0.11 eV per atom.

No. 7
Entry from Alexandria via LeMat-Bulk: a geometry-optimized TaInAu structure (GGA-PBE).

a = 6.6958 Å, b = 6.6958 Å, c = 6.6958 Å
α = 154.07°, β = 154.07°, γ = 37.00°
Closest atoms and distances in Å follow each position.
Sites, in units of the cell vectors:
1 Ta 0.0000 0.0000 0.0000  4 Au 2.88, 4 Ta 3.00, 4 In 3.04
2 In 0.3291 0.3291 0.0000  4 In 3.00, 4 Ta 3.04, 4 Au 3.08
3 Au 0.6537 0.6537 0.0000  4 Ta 2.88, 4 Au 3.00, 4 In 3.08

Summary:
The space-group type is I4mm, No. 107. For the final energy, the calculation gives -5.9281 eV per atom. For the density of states at the Fermi level, the calculation gives 0.553 states/eV per atom. As for the magnetic moment: 0.00 μB/atom. Its formation energy is 0.03 eV per atom.

No. 8
Entry from Alexandria via LeMat-Bulk: a geometry-optimized Tb7In2Au2 structure (GGA-PBE).

a = 6.9793 Å, b = 6.9793 Å, c = 7.1968 Å
α = 90.00°, β = 90.00°, γ = 107.35°
Closest atoms and distances in Å follow each position.
Sites, in units of the cell vectors:
1 Tb 0.0000 0.0000 0.0000  2 Au 3.28
2 Tb 0.0000 0.5000 0.2627  2 Au 2.84
3 Tb 0.0000 0.5000 0.7373  2 Au 2.84
4 Tb 0.5000 0.0000 0.2627  2 Au 2.84
5 Tb 0.5000 0.0000 0.7373  2 Au 2.84
6 Tb 0.5000 0.5000 0.2523  2 Au 2.96, 2 In 3.24
7 Tb 0.5000 0.5000 0.7477  2 Au 2.96, 2 In 3.24
8 In 0.1730 0.1730 0.5000  1 In 2.86
9 In 0.8270 0.8270 0.5000  1 In 2.86
10 Au 0.2917 0.7083 0.0000  6 Tb 2.84-2.96
11 Au 0.7083 0.2917 0.0000  6 Tb 2.84-2.96

Summary:
The space-group type is Cmmm, No. 65. For the final energy, the calculation gives -4.3439 eV per atom. For the density of states at the Fermi level, the calculation gives 1.067 states/eV per atom. As for the magnetic moment: 0.00 μB/atom. Its formation energy is -0.30 eV per atom.

No. 9
Entry from Alexandria via LeMat-Bulk: a geometry-optimized TbIn3Au4 structure (GGA-PBE).

a = 9.5620 Å, b = 9.5620 Å, c = 9.5620 Å
α = 28.38°, β = 28.38°, γ = 28.38°
Closest atoms and distances in Å follow each position.
Sites, in units of the cell vectors:
1 Tb 0.0000 0.0000 0.0000  8 Au 3.04-3.39
2 In 0.2511 0.2511 0.2511  6 Au 2.85-2.93
3 In 0.5000 0.5000 0.5000  8 Au 2.96-3.21
4 In 0.7489 0.7489 0.7489  6 Au 2.85-2.93
5 Au 0.1232 0.1232 0.1232  6 In 2.93-2.96
6 Au 0.3834 0.3834 0.3834  3 In 2.85, 3 Tb 3.04
7 Au 0.6166 0.6166 0.6166  3 In 2.85, 3 Tb 3.04
8 Au 0.8768 0.8768 0.8768  6 In 2.93-2.96

Summary:
The space-group type is R-3m, No. 166. For the final energy, the calculation gives -3.6475 eV per atom. For the density of states at the Fermi level, the calculation gives 0.277 states/eV per atom. As for the magnetic moment: 0.00 μB/atom. Its formation energy is -0.40 eV per atom.

No. 10
Entry from Alexandria via LeMat-Bulk: a geometry-optimized Tb2In5Au structure (GGA-PBE).

a = 6.4640 Å, b = 12.8968 Å, c = 4.5991 Å
α = 90.00°, β = 90.00°, γ = 90.00°
Closest atoms and distances in Å follow each position.
Sites, in units of the cell vectors:
1 Tb 0.2399 0.1272 0.0000  10 In 3.18-3.27, 2 Au 3.29
2 Tb 0.2601 0.6272 0.0000  10 In 3.18-3.27, 2 Au 3.29
3 Tb 0.7399 0.3728 0.0000  10 In 3.18-3.27, 2 Au 3.29
4 Tb 0.7601 0.8728 0.0000  10 In 3.18-3.27, 2 Au 3.29
5 In 0.0000 0.0000 0.5000  4 Tb 3.22, 2 Au 3.23, 6 In 3.25-3.32
6 In 0.0029 0.7426 0.5000  1 Au 3.13, 7 In 3.19-3.37, 4 Tb 3.20-3.25
7 In 0.2351 0.3809 0.0000  2 Au 3.16, 4 Tb 3.18-3.27, 6 In 3.19-3.37
8 In 0.2649 0.8809 0.0000  2 Au 3.16, 4 Tb 3.18-3.27, 6 In 3.19-3.37
9 In 0.4971 0.2426 0.5000  1 Au 3.13, 7 In 3.19-3.37, 4 Tb 3.20-3.25
10 In 0.5000 0.5000 0.5000  4 Tb 3.22, 2 Au 3.23, 6 In 3.25-3.32
11 In 0.5029 0.7574 0.5000  1 Au 3.13, 7 In 3.19-3.37, 4 Tb 3.20-3.25
12 In 0.7351 0.1191 0.0000  2 Au 3.16, 4 Tb 3.18-3.27, 6 In 3.19-3.37
13 In 0.7649 0.6191 0.0000  2 Au 3.16, 4 Tb 3.18-3.27, 6 In 3.19-3.37
14 In 0.9971 0.2574 0.5000  1 Au 3.13, 7 In 3.19-3.37, 4 Tb 3.20-3.25
15 Au 0.0000 0.5000 0.5000  8 In 3.13-3.23, 4 Tb 3.29
16 Au 0.5000 0.0000 0.5000  8 In 3.13-3.23, 4 Tb 3.29

Summary:
The space-group type is Pbam, No. 55. For the final energy, the calculation gives -3.7461 eV per atom. For the density of states at the Fermi level, the calculation gives 0.323 states/eV per atom. As for the magnetic moment: 0.00 μB/atom. Its formation energy is -0.47 eV per atom.

No. 11
Entry from Alexandria via LeMat-Bulk: a geometry-optimized TbInAu2 structure (GGA-PBE).

a = 4.8424 Å, b = 4.8424 Å, c = 3.7792 Å
α = 90.00°, β = 90.00°, γ = 90.00°
Closest atoms and distances in Å follow each position.
Sites, in units of the cell vectors:
1 Tb 0.0000 0.0000 0.0000  8 Au 3.07, 4 In 3.42
2 In 0.5000 0.5000 0.0000  8 Au 3.07, 4 Tb 3.42
3 Au 0.0000 0.5000 0.5000  4 Tb 3.07, 4 In 3.07, 4 Au 3.42
4 Au 0.5000 0.0000 0.5000  4 Tb 3.07, 4 In 3.07, 4 Au 3.42

Summary:
The space-group type is P4/mmm, No. 123. For the final energy, the calculation gives -4.0591 eV per atom. For the density of states at the Fermi level, the calculation gives 0.440 states/eV per atom. As for the magnetic moment: 0.00 μB/atom. Its formation energy is -0.58 eV per atom.

No. 12
Entry from Alexandria via LeMat-Bulk: a geometry-optimized Tb2In8Au structure (GGA-PBE).

a = 4.7492 Å, b = 4.7492 Å, c = 12.2261 Å
α = 90.00°, β = 90.00°, γ = 90.00°
Closest atoms and distances in Å follow each position.
Sites, in units of the cell vectors:
1 Tb 0.0000 0.0000 0.1879  12 In 3.23-3.36
2 Tb 0.0000 0.0000 0.8121  12 In 3.23-3.36
3 In 0.0000 0.5000 0.0000  8 In 3.30-3.36, 4 Tb 3.30
4 In 0.0000 0.5000 0.3676  2 Au 2.87
5 In 0.0000 0.5000 0.6324  2 Au 2.87
6 In 0.5000 0.0000 0.0000  8 In 3.30-3.36, 4 Tb 3.30
7 In 0.5000 0.0000 0.3676  2 Au 2.87
8 In 0.5000 0.0000 0.6324  2 Au 2.87
9 In 0.5000 0.5000 0.1878  8 In 3.24-3.30, 4 Tb 3.36
10 In 0.5000 0.5000 0.8122  8 In 3.24-3.30, 4 Tb 3.36
11 Au 0.0000 0.0000 0.5000  8 In 2.87

Summary:
The space-group type is P4/mmm, No. 123. For the final energy, the calculation gives -3.4665 eV per atom. For the density of states at the Fermi level, the calculation gives 0.404 states/eV per atom. As for the magnetic moment: 0.00 μB/atom. Its formation energy is -0.34 eV per atom.

No. 13
Entry from Alexandria via LeMat-Bulk: a geometry-optimized TbInAu2 structure (GGA-PBE).

a = 3.5929 Å, b = 3.5929 Å, c = 6.9571 Å
α = 90.00°, β = 90.00°, γ = 90.00°
Closest atoms and distances in Å follow each position.
Sites, in units of the cell vectors:
1 Tb 0.0000 0.0000 0.0000  8 Au 3.06
2 In 0.0000 0.0000 0.5000  8 Au 3.09
3 Au 0.5000 0.5000 0.2460  4 Tb 3.06, 4 In 3.09, 1 Au 3.42
4 Au 0.5000 0.5000 0.7540  4 Tb 3.06, 4 In 3.09, 1 Au 3.42

Summary:
The space-group type is P4/mmm, No. 123. For the final energy, the calculation gives -4.0662 eV per atom. For the density of states at the Fermi level, the calculation gives 0.549 states/eV per atom. As for the magnetic moment: 0.00 μB/atom. Its formation energy is -0.59 eV per atom.

No. 14
Entry from Alexandria via LeMat-Bulk: a geometry-optimized Tb6InAu2 structure (GGA-PBE).

a = 8.7268 Å, b = 8.7268 Å, c = 8.7268 Å
α = 113.20°, β = 110.99°, γ = 104.35°
Closest atoms and distances in Å follow each position.
Sites, in units of the cell vectors:
1 Tb 0.0408 0.2389 0.8019  1 Au 2.93, 1 In 3.22
2 Tb 0.1840 0.2857 0.4697  3 Au 3.09-3.16, 1 In 3.29
3 Tb 0.1840 0.7143 0.8982  3 Au 3.09-3.16, 1 In 3.29
4 Tb 0.3267 0.0292 0.7025  3 Au 2.85-3.11
5 Tb 0.3267 0.6242 0.2975  3 Au 2.85-3.11
6 Tb 0.4370 0.2389 0.1981  1 Au 2.93, 1 In 3.22
7 Tb 0.5630 0.7611 0.8019  1 Au 2.93, 1 In 3.22
8 Tb 0.6733 0.3758 0.7025  3 Au 2.85-3.11
9 Tb 0.6733 0.9708 0.2975  3 Au 2.85-3.11
10 Tb 0.8160 0.2857 0.1018  3 Au 3.09-3.16, 1 In 3.29
11 Tb 0.8160 0.7143 0.5303  3 Au 3.09-3.16, 1 In 3.29
12 Tb 0.9592 0.7611 0.1981  1 Au 2.93, 1 In 3.22
13 In 0.0000 0.0000 0.0000  8 Tb 3.22-3.29, 2 Au 3.38
14 In 0.5000 0.5000 0.0000  12 Tb 3.41-3.74
15 Au 0.1324 0.6324 0.5000  1 Au 2.83, 6 Tb 2.85-3.09
16 Au 0.3420 0.0000 0.3420  8 Tb 2.93-3.16, 1 Au 3.12
17 Au 0.6580 0.0000 0.6580  8 Tb 2.93-3.16, 1 Au 3.12
18 Au 0.8676 0.3676 0.5000  1 Au 2.83, 6 Tb 2.85-3.09

Summary:
The space-group type is Immm, No. 71. For the final energy, the calculation gives -4.6105 eV per atom. For the density of states at the Fermi level, the calculation gives 0.942 states/eV per atom. As for the magnetic moment: 0.00 μB/atom. Its formation energy is -0.49 eV per atom.